No. 1
A geometry-optimized Sr3MnV structure, computed with PBE-GGA.

- DOS at the Fermi energy (states/eV/cell) = 6.2
- E_form (meV per atom) = 1054
- space-group type = Pm-3m (221)

Cell: 6.125 6.125 6.125 Å, 90.00 90.00 90.00°
Fractional coordinates of all 5 atoms:
Sr 0.000 0.000 0.500
Sr 0.000 0.500 0.000
Sr 0.500 0.000 0.000
Mn 0.500 0.500 0.500
V 0.000 0.000 0.000

---

No. 2
A geometry-optimized Tl2Hg2Te structure, computed with PBE-GGA.

- DOS at the Fermi energy (states/eV/cell) = 3.9
- space-group type = P4/mbm (127)
- relative energy among the computed polymorphs (kJ/mol of formula units) = 64.5
- formation energy without anion corrections (eV/atom) = -0.037

Cell: 9.538 9.538 3.410 Å, 90.00 90.00 90.00°
Fractional coordinates of all 10 atoms:
Tl 0.185 0.315 0.000
Tl 0.315 0.815 0.000
Tl 0.685 0.185 0.000
Tl 0.815 0.685 0.000
Hg 0.118 0.618 0.500
Hg 0.382 0.118 0.500
Hg 0.618 0.882 0.500
Hg 0.882 0.382 0.500
Te 0.000 0.000 0.000
Te 0.500 0.500 0.000

---

No. 3
A geometry-optimized Mg2ReTc structure, computed with PBE-GGA.

- DOS at the Fermi energy (states/eV/cell) = 2.7
- E_form (meV per atom) = 270
- space-group type = Imm2 (44)
- relative energy among the computed polymorphs (kJ/mol of formula units) = 97.1

Cell: 5.262 5.262 5.262 Å, 143.97 127.22 65.57°
Fractional coordinates of all 4 atoms:
Mg 0.000 0.000 0.000
Mg 0.729 0.229 0.500
Re 0.264 0.764 0.500
Tc 0.468 0.468 0.000

---

No. 4
A geometry-optimized LaTm2Tl2Zn2 structure, computed with PBE-GGA.

- DOS at the Fermi energy (states/eV/cell) = 4.5
- E_form (meV per atom) = -196
- space-group type = R-3m (166)

Cell: 9.361 9.361 9.361 Å, 30.00 30.00 30.00°
Fractional coordinates of all 7 atoms:
La 0.000 0.000 0.000
Tm 0.134 0.134 0.134
Tm 0.866 0.866 0.866
Tl 0.262 0.262 0.262
Tl 0.738 0.738 0.738
Zn 0.441 0.441 0.441
Zn 0.559 0.559 0.559

---

No. 5
A geometry-optimized Tl3WC structure, computed with PBE-GGA.

- DOS at the Fermi energy (states/eV/cell) = 3.8
- E_form (meV per atom) = 1944
- space-group type = Pm-3m (221)
- relative energy among the computed polymorphs (kJ/mol of formula units) = 0.0

Cell: 4.882 4.882 4.882 Å, 90.00 90.00 90.00°
Fractional coordinates of all 5 atoms:
Tl 0.000 0.000 0.500
Tl 0.000 0.500 0.000
Tl 0.500 0.000 0.000
W 0.500 0.500 0.500
C 0.000 0.000 0.000

---

No. 6
A geometry-optimized CaPuZn structure, computed with PBE-GGA.

- DOS at the Fermi energy (states/eV/cell) = 18.4
- E_form (meV per atom) = -2
- space-group type = P2_1/c (14)
- relative energy among the computed polymorphs (kJ/mol of formula units) = 0.0

Cell: 12.457 3.459 6.774 Å, 90.00 104.54 90.00°
Fractional coordinates of all 12 atoms:
Ca 0.132 0.224 0.186
Ca 0.132 0.276 0.686
Ca 0.868 0.724 0.314
Ca 0.868 0.776 0.814
Pu 0.459 0.117 0.827
Pu 0.459 0.383 0.327
Pu 0.541 0.617 0.673
Pu 0.541 0.883 0.173
Zn 0.293 0.746 0.506
Zn 0.293 0.754 0.006
Zn 0.707 0.246 0.994
Zn 0.707 0.254 0.494

---

No. 7
A geometry-optimized Np2Be3Ge4Pd structure, computed with PBE-GGA.

- DOS at the Fermi energy (states/eV/cell) = 14.3
- E_form (meV per atom) = -192
- space-group type = P-4m2 (115)

Cell: 4.061 4.061 9.816 Å, 90.00 90.00 90.00°
Fractional coordinates of all 10 atoms:
Np 0.000 0.500 0.241
Np 0.500 0.000 0.759
Be 0.000 0.500 0.874
Be 0.500 0.000 0.126
Be 0.500 0.500 0.500
Ge 0.000 0.000 0.000
Ge 0.000 0.500 0.646
Ge 0.500 0.000 0.354
Ge 0.500 0.500 0.000
Pd 0.000 0.000 0.500

---

No. 8
A geometry-optimized Dy2PuTl structure, computed with PBE-GGA.

- DOS at the Fermi energy (states/eV/cell) = 11.9
- E_form (meV per atom) = 194
- space-group type = R-3m (166)
- relative energy among the computed polymorphs (kJ/mol of formula units) = 103.4

Cell: 11.986 11.986 11.986 Å, 16.47 16.47 16.47°
Fractional coordinates of all 4 atoms:
Dy 0.093 0.093 0.093
Dy 0.907 0.907 0.907
Pu 0.000 0.000 0.000
Tl 0.500 0.500 0.500

---

No. 9
A geometry-optimized Cu2AsIr structure, computed with PBE-GGA.

- DOS at the Fermi energy (states/eV/cell) = 2.5
- E_form (meV per atom) = 196
- space-group type = P2/m (10)

Cell: 2.862 4.188 4.829 Å, 90.00 103.54 90.00°
Fractional coordinates of all 4 atoms:
Cu 0.129 0.000 0.256
Cu 0.871 0.000 0.744
As 0.000 0.500 0.500
Ir 0.500 0.500 0.000

---

No. 10
A geometry-optimized PrHo3Cu2 structure, computed with PBE-GGA.

- DOS at the Fermi energy (states/eV/cell) = 13.3
- E_form (meV per atom) = -74
- space-group type = C2/m (12)
- relative energy among the computed polymorphs (kJ/mol of formula units) = 51.1

Cell: 8.182 8.182 8.394 Å, 113.80 113.80 36.51°
Fractional coordinates of all 12 atoms:
Pr 0.138 0.138 0.208
Pr 0.862 0.862 0.792
Ho 0.063 0.063 0.728
Ho 0.312 0.312 0.004
Ho 0.379 0.379 0.492
Ho 0.621 0.621 0.508
Ho 0.688 0.688 0.996
Ho 0.937 0.937 0.272
Cu 0.220 0.220 0.620
Cu 0.493 0.493 0.850
Cu 0.507 0.507 0.150
Cu 0.780 0.780 0.380

---

No. 11
A geometry-optimized CrCoSeBr2 structure, computed with PBE-GGA.

- DOS at the Fermi energy (states/eV/cell) = 6.1
- space-group type = P4/mmm (123)
- relative energy among the computed polymorphs (kJ/mol of formula units) = 0.0
- formation energy without anion corrections (eV/atom) = 0.340

Cell: 4.990 4.990 4.642 Å, 90.00 90.00 90.00°
Fractional coordinates of all 5 atoms:
Cr 0.000 0.000 0.000
Co 0.500 0.500 0.500
Se 0.500 0.500 0.000
Br 0.000 0.500 0.500
Br 0.500 0.000 0.500

---

No. 12
A geometry-optimized CeBN2F structure, computed with PBE-GGA.

- space-group type = P2_1/m (11)
- formation energy without anion corrections (eV/atom) = -1.639

Cell: 6.099 3.996 6.512 Å, 90.00 90.98 90.00°
Fractional coordinates of all 10 atoms:
Ce 0.230 0.250 0.359
Ce 0.770 0.750 0.641
B 0.115 0.250 0.856
B 0.885 0.750 0.144
N 0.021 0.250 0.666
N 0.215 0.250 0.039
N 0.785 0.750 0.961
N 0.979 0.750 0.334
F 0.447 0.750 0.386
F 0.553 0.250 0.614

---

The evaluated magnetization for the records listed, in turn: 9.8; 0.0; 0.0; 0.0; 3.5; 0.0; 7.8; 6.4; 0.0; 0.0; 2.9; 0.0 μB/f.u..